# PBE-GGA NdHoCu6, optimized geometry
# - magnetization (μB/atom) = 0.000
# - energy of formation from the pure elements (kJ/mol of formula units) = -103
data_NdHoCu6
_cell_length_a 4.404
_cell_length_b 5.985
_cell_length_c 5.125
_cell_angle_alpha 90.00
_cell_angle_beta 90.00
_cell_angle_gamma 90.00
_space_group_name_H-M_alt 'P m m 2'
_space_group_IT_number 25
_space_group_name_Hall 'P 2 -2'
loop_
_atom_site_label
_atom_site_type_symbol
_atom_site_fract_x
_atom_site_fract_y
_atom_site_fract_z
_atom_site_occupancy
Nd1 Nd 0.000 0.000 0.000 1
Ho1 Ho 0.500 0.500 0.752 1
Cu1 Cu 0.000 0.275 0.518 1
Cu2 Cu 0.000 0.500 0.105 1
Cu3 Cu 0.500 0.000 0.585 1
Cu4 Cu 0.500 0.285 0.245 1

---

# PBE-GGA NdHoCuS3, optimized geometry
# - raw total energy (eV for the cell shown) = -69.8
# - magnetization (μB/atom) = 0.001
data_NdHoCuS3
_cell_length_a 3.814
_cell_length_b 10.093
_cell_length_c 6.669
_cell_angle_alpha 90.00
_cell_angle_beta 106.39
_cell_angle_gamma 90.00
_space_group_name_H-M_alt 'P 1 21/m 1'
_space_group_IT_number 11
_space_group_name_Hall '-P 2yb'
loop_
_atom_site_label
_atom_site_type_symbol
_atom_site_fract_x
_atom_site_fract_y
_atom_site_fract_z
_atom_site_occupancy
Nd1 Nd 0.233 0.250 0.476 1
Ho1 Ho 0.000 0.000 0.000 1
Cu1 Cu 0.485 0.750 0.952 1
S1 S 0.092 0.750 0.173 1
S2 S 0.361 0.573 0.716 1